(1)
Compound: Cs4K3ZnH8
Source: the Alexandria database
Functional: PBE
Structure: relaxed

## Properties
- D(E_F): 0.147 states/eV/atom
- Final energy: -2.20 eV/atom
- SG: C2/m (12)

a = 8.1047 Å, b = 8.2432 Å, c = 8.3783 Å
α = 119.52°, β = 118.93°, γ = 90.00°
Last column: nearest neighbours and their distance in Å.
Positions (direct):
1 K 0.0000 0.5000 0.5000  4 H 2.75
2 K 0.5000 0.5000 0.0000  6 H 2.87-3.03
3 K 0.5000 0.5000 0.5000  4 H 2.75
4 H 0.7363 0.7106 0.4726  3 K 2.75-2.87, 2 Cs 3.05
5 H 0.1642 0.3411 0.0009  1 Zn 1.87
6 H 0.7442 0.2697 0.4885  2 K 2.75, 3 Cs 2.97-3.04
7 H 0.8358 0.6589 0.9991  1 Zn 1.87
8 H 0.1633 0.6589 0.9991  1 Zn 1.87
9 H 0.8367 0.3411 0.0009  1 Zn 1.87
10 H 0.2637 0.2894 0.5274  3 K 2.75-2.87, 2 Cs 3.05
11 H 0.2558 0.7303 0.5115  2 K 2.75, 3 Cs 2.97-3.04
12 Cs 0.5000 0.0000 0.0000  2 H 2.97
13 Cs 0.5000 0.0000 0.5000  6 H 3.04-3.20
14 Cs 0.0000 0.0000 0.5000  6 H 3.04-3.20
15 Cs 0.0000 0.0000 0.0000  6 H 3.11-3.20
16 Zn 0.0000 0.5000 0.0000  4 H 1.87

***

(2)
Compound: Cs2TlRuBr6
Source: the Alexandria database
Functional: PBE
Structure: relaxed

## Properties
- D(E_F): 1.497 states/eV/atom
- Final energy: -3.32 eV/atom
- ΔE_f (raw): -952 kJ/mol of formula units
- SG: Fm-3m (225)

a = 8.0511 Å, b = 8.0511 Å, c = 8.0505 Å
α = 60.00°, β = 60.00°, γ = 90.00°
Last column: nearest neighbours and their distance in Å.
Positions (direct):
1 Ru 0.5000 0.5000 0.0000  6 Br 2.54
2 Cs 0.7500 0.2500 0.5000  12 Br 4.04
3 Cs 0.2500 0.7500 0.5000  12 Br 4.04
4 Br 0.2770 0.2770 0.4461  1 Ru 2.54
5 Br 0.7229 0.2771 0.0000  1 Ru 2.54
6 Br 0.2771 0.7229 0.0000  1 Ru 2.54
7 Br 0.2771 0.2771 0.0000  1 Ru 2.54
8 Br 0.7229 0.7229 0.0000  1 Ru 2.54
9 Br 0.7230 0.7230 0.5539  1 Ru 2.54
10 Tl 0.0000 0.0000 0.0000  6 Br 3.15

***

(3)
Compound: Rb3CaGa2O6
Source: the Alexandria database
Functional: PBE
Structure: relaxed

## Properties
- D(E_F): 0.814 states/eV/atom
- Final energy: -5.05 eV/atom
- ΔE_f (raw): -1920 kJ/mol of formula units
- SG: P-3m1 (164)

a = 6.2589 Å, b = 6.2589 Å, c = 7.5277 Å
α = 90.00°, β = 90.00°, γ = 120.00°
Last column: nearest neighbours and their distance in Å.
Positions (direct):
1 O 0.8314 0.1686 0.7047  1 Ga 1.79
2 O 0.8314 0.6628 0.7047  1 Ga 1.79
3 O 0.3372 0.1686 0.7047  1 Ga 1.79
4 O 0.1686 0.8314 0.2953  1 Ga 1.79
5 O 0.6628 0.8314 0.2953  1 Ga 1.79
6 O 0.1686 0.3372 0.2953  1 Ga 1.79
7 Rb 0.3333 0.6667 0.7387  6 O 3.14, 1 Ga 3.35
8 Rb 0.6667 0.3333 0.2613  6 O 3.14, 1 Ga 3.35
9 Rb 0.0000 0.0000 0.0000  6 O 2.88
10 Ga 0.3333 0.6667 0.2941  3 O 1.79
11 Ga 0.6667 0.3333 0.7059  3 O 1.79
12 Ca 0.0000 0.0000 0.5000  6 O 2.39

***

(4)
Compound: Pm2NdTc
Source: the Alexandria database
Functional: PBE
Structure: relaxed

## Properties
- ΔE to the lowest computed polymorph: 0.110 eV per atom
- D(E_F): 1.410 states/eV/atom
- Final energy: -6.04 eV/atom
- Energy of formation: 0.118 eV/atom
- SG: P4/mmm (123)

a = 3.5233 Å, b = 3.5233 Å, c = 9.2224 Å
α = 90.00°, β = 90.00°, γ = 90.00°
Last column: nearest neighbours and their distance in Å.
Positions (direct):
1 Pm 0.0000 0.0000 0.8153  4 Tc 3.02
2 Pm 0.0000 0.0000 0.1847  4 Tc 3.02
3 Nd 0.5000 0.5000 0.5000  4 Nd 3.52, 8 Pm 3.83
4 Tc 0.5000 0.5000 0.0000  8 Pm 3.02

***

(5)
Compound: SmDy2Cd
Source: the Alexandria database
Functional: PBE
Structure: relaxed

## Properties
- ΔE to the lowest computed polymorph: 0.003 eV per atom
- D(E_F): 1.042 states/eV/atom
- Final energy: -3.86 eV/atom
- Energy of formation: -0.147 eV/atom
- SG: Immm (71)

a = 3.8002 Å, b = 5.4677 Å, c = 6.6187 Å
α = 114.41°, β = 106.68°, γ = 90.00°
Last column: nearest neighbours and their distance in Å.
Positions (direct):
1 Sm 0.0000 0.5000 0.0000  4 Cd 3.33, 4 Dy 3.68
2 Dy 0.2243 0.2243 0.4486  2 Cd 3.19, 4 Dy 3.38
3 Dy 0.7757 0.7757 0.5514  2 Cd 3.19, 4 Dy 3.38
4 Cd 0.5000 0.0000 0.0000  4 Dy 3.19, 4 Sm 3.33

***

(6)
Compound: NaMg2TiTe
Source: the Alexandria database
Functional: PBE
Structure: relaxed

## Properties
- D(E_F): 1.013 states/eV/atom
- Final energy: -2.28 eV/atom
- ΔE_f (raw): 401 kJ/mol of formula units
- SG: P4/mmm (123)

a = 5.4532 Å, b = 5.7373 Å, c = 5.4532 Å
α = 90.00°, β = 90.00°, γ = 90.00°
Last column: nearest neighbours and their distance in Å.
Positions (direct):
1 Ti 0.0000 0.0000 0.0000  4 Mg 2.73, 2 Na 2.87
2 Mg 0.5000 0.0000 0.0000  2 Ti 2.73
3 Mg 0.0000 0.0000 0.5000  2 Ti 2.73
4 Te 0.5000 0.5000 0.5000  4 Na 3.86, 8 Mg 3.96
5 Na 0.0000 0.5000 0.0000  2 Ti 2.87

***

(7)
Compound: Nd2Sm5Hg4
Source: the Alexandria database
Functional: PBE
Structure: relaxed

## Properties
- D(E_F): 1.473 states/eV/atom
- Final energy: -3.16 eV/atom
- Energy of formation: -0.039 eV/atom
- SG: C2/m (12)

a = 3.5586 Å, b = 8.7300 Å, c = 14.8893 Å
α = 129.82°, β = 96.86°, γ = 90.00°
Last column: nearest neighbours and their distance in Å.
Positions (direct):
1 Hg 0.2877 0.3473 0.5755  6 Sm 3.13-3.21, 2 Hg 3.43
2 Hg 0.0835 0.4089 0.1670  1 Nd 3.10, 4 Sm 3.17-3.32, 2 Hg 3.43
3 Hg 0.9165 0.5911 0.8330  1 Nd 3.10, 4 Sm 3.17-3.32, 2 Hg 3.43
4 Hg 0.7123 0.6527 0.4245  6 Sm 3.13-3.21, 2 Hg 3.43
5 Nd 0.0463 0.7583 0.0925  1 Hg 3.10, 1 Sm 3.42, 1 Nd 3.45
6 Nd 0.9537 0.2417 0.9075  1 Hg 3.10, 1 Sm 3.42, 1 Nd 3.45
7 Sm 0.8178 0.1173 0.6357  4 Hg 3.14-3.21, 1 Nd 3.42
8 Sm 0.1682 0.2838 0.3364  4 Hg 3.13-3.32
9 Sm 0.5000 0.0000 0.0000  4 Hg 3.26, 2 Sm 3.56, 4 Nd 3.63
10 Sm 0.8318 0.7162 0.6636  4 Hg 3.13-3.32
11 Sm 0.1822 0.8827 0.3643  4 Hg 3.14-3.21, 1 Nd 3.42

***

(8)
Compound: SrHgOs2O8
Source: the Alexandria database
Functional: PBE
Structure: relaxed

## Properties
- D(E_F): 0.708 states/eV/atom
- Final energy: -6.53 eV/atom
- ΔE_f (raw): -1374 kJ/mol of formula units
- SG: P-3m1 (164)

a = 6.7410 Å, b = 6.7410 Å, c = 8.0485 Å
α = 90.00°, β = 90.00°, γ = 120.00°
Last column: nearest neighbours and their distance in Å.
Positions (direct):
1 O 0.6231 0.8115 0.8422  1 Os 1.77
2 O 0.8115 0.6231 0.1578  1 Os 1.77
3 O 0.3333 0.6667 0.1247  1 Os 1.75
4 O 0.1885 0.3769 0.8422  1 Os 1.77
5 O 0.8115 0.1885 0.1578  1 Os 1.77
6 O 0.1885 0.8115 0.8422  1 Os 1.77
7 O 0.6667 0.3333 0.8753  1 Os 1.75
8 O 0.3769 0.1885 0.1578  1 Os 1.77
9 Os 0.6667 0.3333 0.0922  4 O 1.75-1.77
10 Os 0.3333 0.6667 0.9078  4 O 1.75-1.77
11 Hg 0.0000 0.0000 0.5000  6 O 3.53
12 Sr 0.0000 0.0000 0.0000  6 O 2.54

***

(9)
Compound: Ta2NbMo3
Source: the Alexandria database
Functional: PBE
Structure: relaxed

## Properties
- D(E_F): 0.674 states/eV/atom
- Final energy: -11.23 eV/atom
- Energy of formation: -0.183 eV/atom
- SG: P4/mmm (123)

a = 3.2320 Å, b = 3.2320 Å, c = 9.6684 Å
α = 90.00°, β = 90.00°, γ = 90.00°
Last column: nearest neighbours and their distance in Å.
Positions (direct):
1 Nb 0.5000 0.5000 0.5000  8 Mo 2.80
2 Mo 0.0000 0.0000 0.0000  8 Ta 2.80
3 Mo 0.0000 0.0000 0.3333  4 Nb 2.80, 4 Ta 2.80
4 Mo 0.0000 0.0000 0.6667  4 Nb 2.80, 4 Ta 2.80
5 Ta 0.5000 0.5000 0.1665  8 Mo 2.80
6 Ta 0.5000 0.5000 0.8335  8 Mo 2.80

***

(10)
Compound: Th4ScAs6
Source: the Alexandria database
Functional: PBE
Structure: relaxed

## Properties
- D(E_F): 0.429 states/eV/atom
- Final energy: -7.07 eV/atom
- Energy of formation: -1.258 eV/atom
- SG: R-3c (167)

a = 8.1945 Å, b = 8.1945 Å, c = 8.1945 Å
α = 90.31°, β = 90.31°, γ = 89.69°
Last column: nearest neighbours and their distance in Å.
Positions (direct):
1 As 0.3143 0.9366 0.9196  1 Sc 2.71, 2 Th 2.97-3.00
2 As 0.9366 0.0804 0.6857  1 Sc 2.71, 2 Th 2.97-3.00
3 As 0.5804 0.4366 0.1857  1 Sc 2.71, 2 Th 2.97-3.00
4 As 0.0804 0.3143 0.0634  1 Sc 2.71, 2 Th 2.97-3.00
5 As 0.9196 0.6857 0.9366  1 Sc 2.71, 2 Th 2.97-3.00
6 As 0.5634 0.1857 0.5804  1 Sc 2.71, 2 Th 2.97-3.00
7 As 0.6857 0.0634 0.0804  1 Sc 2.71, 2 Th 2.97-3.00
8 As 0.0634 0.9196 0.3143  1 Sc 2.71, 2 Th 2.97-3.00
9 As 0.8143 0.5804 0.5634  1 Sc 2.71, 2 Th 2.97-3.00
10 As 0.1857 0.4196 0.4366  1 Sc 2.71, 2 Th 2.97-3.00
11 As 0.4196 0.5634 0.8143  1 Sc 2.71, 2 Th 2.97-3.00
12 As 0.4366 0.8143 0.4196  1 Sc 2.71, 2 Th 2.97-3.00
13 Th 0.6317 0.8683 0.7500  8 As 3.00-3.18
14 Th 0.1317 0.7500 0.6317  8 As 3.00-3.18
15 Th 0.8683 0.2500 0.3683  8 As 3.00-3.18
16 Th 0.7500 0.3683 0.8683  8 As 3.00-3.18
17 Th 0.2500 0.6317 0.1317  8 As 3.00-3.18
18 Th 0.7500 0.7500 0.2500  6 As 2.97
19 Th 0.2500 0.2500 0.7500  6 As 2.97
20 Th 0.3683 0.1317 0.2500  8 As 3.00-3.18
21 Sc 0.5000 0.5000 0.5000  6 As 2.71
22 Sc 0.0000 0.0000 0.0000  6 As 2.71

***

(11)
Compound: Pm3Sm3Co4
Source: the Alexandria database
Functional: PBE
Structure: relaxed

## Properties
- D(E_F): 0.673 states/eV/atom
- Final energy: -5.72 eV/atom
- Energy of formation: -0.038 eV/atom
- SG: Amm2 (38)

a = 4.2709 Å, b = 7.3672 Å, c = 7.3672 Å
α = 89.90°, β = 90.00°, γ = 90.00°
Last column: nearest neighbours and their distance in Å.
Positions (direct):
1 Co 0.0000 0.6062 0.3938  1 Co 2.25
2 Co 0.0000 0.1093 0.1063  1 Co 2.25
3 Co 0.0000 0.8937 0.8907  1 Co 2.25
4 Co 0.0000 0.3901 0.6099  1 Co 2.25
5 Sm 0.0000 0.0000 0.5004  4 Co 2.98-3.01
6 Sm 0.0000 0.4996 0.0000  4 Co 2.98-3.01
7 Sm 0.5000 0.1733 0.8267  6 Co 3.00-3.11
8 Pm 0.5000 0.6729 0.6729  6 Co 3.01-3.13
9 Pm 0.5000 0.8278 0.1722  6 Co 3.02-3.14
10 Pm 0.5000 0.3271 0.3271  6 Co 3.01-3.13

***

(12)
Compound: TaV2Tc
Source: the Alexandria database
Functional: PBE
Structure: relaxed

## Properties
- ΔE to the lowest computed polymorph: 0.678 eV per atom
- D(E_F): 0.824 states/eV/atom
- Final energy: -9.66 eV/atom
- Energy of formation: 0.449 eV/atom
- SG: I-42d (122)

a = 6.9425 Å, b = 6.9425 Å, c = 5.5814 Å
α = 51.54°, β = 51.54°, γ = 90.00°
Last column: nearest neighbours and their distance in Å.
Positions (direct):
1 Tc 0.2500 0.7500 0.5000  4 V 2.43, 2 Ta 2.66
2 Tc 0.5000 0.5000 0.0000  4 V 2.43, 2 Ta 2.66
3 Ta 0.7500 0.2500 0.5000  2 Tc 2.66, 4 V 2.67
4 Ta 0.0000 0.0000 0.0000  2 Tc 2.66, 4 V 2.67
5 V 0.1503 0.6250 0.2500  2 Tc 2.43, 2 Ta 2.67, 2 V 2.68
6 V 0.3750 0.4003 0.7500  2 Tc 2.43, 2 Ta 2.67, 2 V 2.68
7 V 0.8750 0.8497 0.7500  2 Tc 2.43, 2 Ta 2.67, 2 V 2.68
8 V 0.5997 0.1250 0.2500  2 Tc 2.43, 2 Ta 2.67, 2 V 2.68